KAcCrF6 PBE with a Hubbard U relaxed; DFT total energy = -53.62 eV per formula unit; crystal system = orthorhombic
1.0
8.165 0.000 0.000
0.000 7.838 0.000
-4.083 -3.919 5.268
K Ac Cr F
2 2 2 12
Direct
0.816 0.566 0.632
0.184 0.434 0.368
0.500 0.000 0.500
0.000 0.000 0.500
0.500 0.500 0.000
0.500 0.000 0.000
0.611 0.861 0.222
0.884 0.134 0.767
0.814 0.163 0.269
0.456 0.606 0.269
0.456 0.163 0.269
0.814 0.606 0.269
0.389 0.139 0.778
0.116 0.866 0.233
0.186 0.837 0.731
0.544 0.394 0.731
0.544 0.837 0.731
0.186 0.394 0.731